Entry 1:
A plane-wave DFT calculation with PBE was carried out for a relaxed structure of Sm3Al2BOs3.

Cell: 3.5899 7.3217 7.3217 Å, 120.00 90.00 90.00°
Atoms (fractional coordinates):
Sm (0.0000, 0.0000, 0.3684)
Al (0.5000, 0.3333, 0.6667)
Os (0.5000, 0.7721, 0.0000)
Sm (0.0000, 0.3684, 0.0000)
Al (0.5000, 0.6667, 0.3333)
Os (0.5000, 0.2279, 0.2279)
Sm (0.0000, 0.6316, 0.6316)
Os (0.5000, 0.0000, 0.7721)
B (0.0000, 0.0000, 0.0000)

Results
The value obtained for the mass density is 10.826 g cm⁻³. The density of states at the Fermi level is 0.814 states/eV per atom. The total moment is 0.000 μB/atom. The value obtained for the formation energy is -0.08 eV/atom. The space group is P-62m.

Entry 2:
A plane-wave DFT calculation with PBE was carried out for a relaxed structure of Tb2Al2BOs2.

Cell: 4.0927 5.8945 6.2317 Å, 72.02 70.83 69.69°
Atoms (fractional coordinates):
Tb (0.5688, 0.1573, 0.7050)
Os (0.2074, 0.6740, 0.9113)
Os (0.7926, 0.3260, 0.0887)
Al (0.1447, 0.3966, 0.3140)
Al (0.8553, 0.6034, 0.6860)
B (0.0000, 0.0000, 0.0000)
Tb (0.4312, 0.8427, 0.2950)

Results
The value obtained for the mass density is 9.754 g cm⁻³. The density of states at the Fermi level is 0.602 states/eV per atom. The total moment is 0.000 μB/atom. The value obtained for the formation energy is -0.47 eV/atom. The space group is C2/m.